A geometry-optimized FeBNF2 structure, computed with PBE+U.

Calculated values
Its total energy is -4.62 eV/atom. Its crystal system is tetragonal. The relative energy among the computed polymorphs comes out at 1.104 eV per atom. The space group is P4/mmm, No. 123. Its magnetic moment is 4.01 μB/f.u.

a = 3.910 Å, b = 3.910 Å, c = 4.021 Å
α = 90.00°, β = 90.00°, γ = 90.00°
Element x y z (fractional)
Fe: 0.000 0.000 0.000
B: 0.500 0.500 0.500
N: 0.000 0.000 0.500
F: 0.000 0.500 0.000
F: 0.500 0.000 0.000